The following is a GGA-PBEsol calculation of crystalline Ta3CrSn at its relaxed geometry, from Alexandria via LeMat-Bulk.

Geometry as CIF:
```
data_Ta3CrSn
_chemical_formula_sum 'Ta3 Cr1 Sn1'
_symmetry_space_group_name_H-M 'P m -3 m'
_symmetry_Int_Tables_number 221
_symmetry_space_group_name_Hall '-P 4 2 3'
_cell_length_a 4.586
_cell_length_b 4.586
_cell_length_c 4.586
_cell_angle_alpha 90.00
_cell_angle_beta 90.00
_cell_angle_gamma 90.00
loop_
_atom_site_label
_atom_site_fract_x
_atom_site_fract_y
_atom_site_fract_z
Ta1 0.000 0.000 0.500
Cr1 0.000 0.000 0.000
Sn1 0.500 0.500 0.500
```

Summary:
* electronic total energy: -48.13 eV per formula unit
* energy of formation from the pure elements: 804 meV per atom